Entry 1:
PBE-GGA La2PmTe2S2, relaxed; volume = 222.60 Å³ per cell; E = -5.74 eV/atom; uncorrected formation energy = -1.58 eV/atom
1.0
-0.371 1.470 5.006
4.997 -1.344 0.765
0.022 7.459 -4.922
Pm Te La S
1 2 2 2
direct
0.000 0.000 0.000 Pm
0.812 0.812 0.625 Te
0.188 0.188 0.375 Te
0.385 0.385 0.769 La
0.615 0.615 0.231 La
0.000 0.500 0.000 S
0.500 0.000 0.000 S

---

Entry 2:
PBE-GGA La3SnN, relaxed; volume = 548.84 Å³ per cell; E = -6.25 eV/atom; uncorrected formation energy = -0.83 eV/atom
1.0
26.664 0.000 -1.954
0.000 6.629 0.000
-9.503 0.000 3.801
La N Sn
12 4 4
direct
0.857 0.415 0.245 La
0.802 0.903 0.947 La
0.102 0.138 0.452 La
0.898 0.862 0.548 La
0.398 0.638 0.048 La
0.602 0.362 0.952 La
0.143 0.585 0.755 La
0.357 0.085 0.745 La
0.643 0.915 0.255 La
0.698 0.403 0.553 La
0.302 0.597 0.447 La
0.198 0.097 0.053 La
0.981 0.236 0.363 N
0.481 0.264 0.863 N
0.519 0.736 0.137 N
0.019 0.764 0.637 N
0.979 0.655 0.060 Sn
0.479 0.845 0.560 Sn
0.521 0.155 0.440 Sn
0.021 0.345 0.940 Sn

---

Entry 3:
PBE-GGA Ce2PrSb4, relaxed; volume = 230.50 Å³ per cell; E = -5.45 eV/atom; uncorrected formation energy = -0.71 eV/atom
1.0
-1.258 -2.959 -3.167
2.813 -1.023 -3.378
5.524 -11.075 4.938
Sb Ce Pr
4 2 1
direct
0.116 0.116 0.652 Sb
0.312 0.312 0.063 Sb
0.884 0.884 0.348 Sb
0.688 0.688 0.937 Sb
0.600 0.600 0.201 Ce
0.400 0.400 0.799 Ce
0.500 0.500 0.500 Pr

---

Entry 4:
PBE-GGA Ca2PmPtO6, relaxed; volume = 274.47 Å³ per cell; E = -6.65 eV/atom; uncorrected formation energy = -2.19 eV/atom
1.0
5.687 0.000 -0.064
0.000 5.908 0.000
-0.043 0.000 8.169
Ca Pm O Pt
4 2 12 2
direct
0.020 0.943 0.250 Ca
0.480 0.443 0.250 Ca
0.980 0.057 0.750 Ca
0.520 0.557 0.750 Ca
0.000 0.500 0.500 Pm
0.500 0.000 0.000 Pm
0.216 0.186 0.439 O
0.716 0.314 0.939 O
0.879 0.553 0.228 O
0.325 0.718 0.431 O
0.621 0.053 0.272 O
0.784 0.814 0.561 O
0.175 0.218 0.069 O
0.825 0.782 0.931 O
0.121 0.447 0.772 O
0.675 0.282 0.569 O
0.284 0.686 0.061 O
0.379 0.947 0.728 O
0.000 0.500 0.000 Pt
0.500 0.000 0.500 Pt

---

Entry 5:
PBE-GGA AgGe2Pd7, relaxed; volume = 164.79 Å³ per cell; E = -5.16 eV/atom; offset from the most stable computed form = 0.000 kcal/mol of atoms
1.0
-2.023 1.514 3.195
-3.433 0.041 -2.193
0.663 -9.995 2.559
Ag Pd Ge
1 7 2
direct
0.000 0.000 0.000 Ag
0.250 0.750 0.500 Pd
0.399 0.899 0.798 Pd
0.601 0.101 0.202 Pd
0.101 0.601 0.202 Pd
0.899 0.399 0.798 Pd
0.500 0.500 0.000 Pd
0.750 0.250 0.500 Pd
0.327 0.327 0.655 Ge
0.673 0.673 0.345 Ge

---

Entry 6:
PBE-GGA CrSbBr3, relaxed; volume = 136.22 Å³ per cell; E = -3.79 eV/atom; uncorrected formation energy = -0.04 eV/atom; offset from the most stable computed form = 0.000 kcal/mol of atoms
1.0
-0.034 -0.723 5.094
-3.004 -4.133 -0.607
4.178 -2.978 -0.395
Br Cr Sb
3 1 1
direct
0.000 0.000 0.500 Br
0.000 0.500 0.000 Br
0.500 0.000 0.000 Br
0.000 0.000 0.000 Cr
0.500 0.500 0.500 Sb

---

Entry 7:
PBE-GGA ScIr2Os, relaxed; volume = 63.84 Å³ per cell; E = -8.80 eV/atom; offset from the most stable computed form = 9.567 kcal/mol of atoms
1.0
0.000 3.172 3.172
3.172 0.000 3.172
3.172 3.172 0.000
Sc Ir Os
1 2 1
direct
0.000 0.000 0.000 Sc
0.750 0.750 0.750 Ir
0.250 0.250 0.250 Ir
0.500 0.500 0.500 Os

---

Entry 8:
PBE-GGA Dy6Pd5, relaxed; volume = 255.36 Å³ per cell; E = -5.65 eV/atom
1.0
-0.016 -4.539 -1.966
6.408 1.071 -2.524
2.905 -4.984 5.262
Dy Pd
6 5
direct
0.835 0.751 0.331 Dy
0.835 0.249 0.331 Dy
0.165 0.751 0.669 Dy
0.165 0.249 0.669 Dy
0.500 0.250 0.000 Dy
0.500 0.750 0.000 Dy
0.000 0.500 0.000 Pd
0.334 0.000 0.332 Pd
0.672 0.500 0.656 Pd
0.666 0.000 0.668 Pd
0.328 0.500 0.344 Pd